Computed, not measured: a relaxed Ac2Nd2Y7 crystal at the PBE level of DFT.

Properties
- V: 391.7 Å³ per cell
- DOS(E_F): 1.51 states/eV per atom
- Energy of formation: 1.01 eV/f.u.
- E: -5.636 eV/atom
- Size of the total moment: 0.00 μB per atom
- Energy relative to the lowest polymorph listed for this composition: 0.0 kJ per mole of atoms

```
Ac2Nd2Y7
1.0
3.7524 0.0000 0.0000
-0.0038 9.5033 0.0000
-1.8742 -4.4052 10.9843
Ac Nd Y
2 2 7
Direct
0.1002 0.2838 0.1998 Ac
0.8998 0.7162 0.8002 Ac
0.1299 0.7384 0.2606 Nd
0.8701 0.2616 0.7394 Nd
0.2794 0.3994 0.5590 Y
0.2964 0.9253 0.5927 Y
0.4544 0.0954 0.9082 Y
0.5000 0.5000 0.0000 Y
0.5456 0.9046 0.0918 Y
0.7036 0.0747 0.4073 Y
0.7206 0.6006 0.4410 Y
```

=====

Computed, not measured: a relaxed Pr8CoRh3I4 crystal at the PBE level of DFT.

Properties
- V: 496.7 Å³ per cell
- DOS(E_F): 0.20 states/eV per atom
- E: -5.446 eV/atom
- Size of the total moment: 0.00 μB per atom
- Uncorrected formation energy: -81.7 kJ per mole of atoms

```
Pr8CoRh3I4
1.0
4.1796 2.4131 8.2091
-4.1796 2.4131 8.2091
0.0000 -4.8262 8.2091
Pr Co Rh I
8 1 3 4
Direct
0.2290 0.2290 0.2290 Pr
0.2369 0.7238 0.7238 Pr
0.2762 0.2762 0.7631 Pr
0.2762 0.7631 0.2762 Pr
0.7238 0.2369 0.7238 Pr
0.7238 0.7238 0.2369 Pr
0.7631 0.2762 0.2762 Pr
0.7710 0.7710 0.7710 Pr
0.5000 0.5000 0.5000 Co
0.0000 0.0000 0.5000 Rh
0.0000 0.5000 0.0000 Rh
0.5000 0.0000 0.0000 Rh
0.0000 0.0000 0.0000 I
0.0000 0.5000 0.5000 I
0.5000 0.0000 0.5000 I
0.5000 0.5000 0.0000 I
```

=====

Computed, not measured: a relaxed Y3TmTl2S crystal at the PBE level of DFT.

Properties
- V: 202.7 Å³ per cell
- DOS(E_F): 0.64 states/eV per atom
- E: -5.360 eV/atom
- Size of the total moment: 0.00 μB per atom
- Uncorrected formation energy: -66.1 kJ per mole of atoms

```
Y3TmTl2S
1.0
-2.5052 2.5283 8.0025
2.5052 -2.5283 8.0025
2.5052 2.5283 -8.0025
Y Tm Tl S
3 1 2 1
Direct
0.0000 0.0000 0.0000 Y
0.3280 0.8280 0.5000 Y
0.6720 0.1720 0.5000 Y
0.5000 0.5000 0.0000 Tm
0.1332 0.6332 0.5000 Tl
0.8668 0.3668 0.5000 Tl
0.5000 0.0000 0.5000 S
```

=====

Computed, not measured: a relaxed Si2HPbS crystal at the PBE level of DFT.

Properties
- V: 92.3 Å³ per cell
- DOS(E_F): 0.51 states/eV per atom
- E: -3.827 eV/atom
- Size of the total moment: 0.00 μB per atom

```
Si2HPbS
1.0
3.9298 0.0000 0.0000
0.0000 3.9298 0.0000
0.0000 0.0000 5.9766
Si H Pb S
2 1 1 1
Direct
0.0000 0.5000 0.0000 Si
0.5000 0.0000 0.0000 Si
0.0000 0.0000 0.0000 H
0.0000 0.0000 0.5000 Pb
0.5000 0.5000 0.5000 S
```

=====

Computed, not measured: a relaxed CaNd6DyEr2 crystal at the PBE level of DFT.

Properties
- V: 696.6 Å³ per cell
- DOS(E_F): 1.53 states/eV per atom
- Energy of formation: 1.35 eV/f.u.
- E: -4.299 eV/atom
- Size of the total moment: 0.00 μB per atom

```
CaNd6DyEr2
1.0
4.6095 -7.7368 0.0000
4.6095 7.7368 0.0000
-1.4836 0.0000 9.7660
Ca Nd Dy Er
2 12 2 4
Direct
0.0986 0.9014 0.7500 Ca
0.9014 0.0986 0.2500 Ca
0.0009 0.7905 0.3773 Nd
0.0673 0.5272 0.1770 Nd
0.2095 0.9991 0.1227 Nd
0.2636 0.6124 0.5520 Nd
0.3876 0.7364 0.9480 Nd
0.4728 0.9327 0.3230 Nd
0.5272 0.0673 0.6770 Nd
0.6124 0.2636 0.0520 Nd
0.7364 0.3876 0.4480 Nd
0.7905 0.0009 0.8773 Nd
0.9327 0.4728 0.8230 Nd
0.9991 0.2095 0.6227 Nd
0.4728 0.5272 0.2500 Dy
0.5272 0.4728 0.7500 Dy
0.2037 0.3033 0.9561 Er
0.3033 0.2037 0.4561 Er
0.6967 0.7963 0.5439 Er
0.7963 0.6967 0.0439 Er
```

=====

Computed, not measured: a relaxed PrYPu4 crystal at the PBE level of DFT.

Properties
- V: 170.9 Å³ per cell
- DOS(E_F): 4.89 states/eV per atom
- Energy of formation: 1.45 eV/f.u.
- E: -11.187 eV/atom
- Size of the total moment: 3.83 μB per atom

```
PrYPu4
1.0
0.0000 4.4042 4.4042
4.4042 0.0000 4.4042
4.4042 4.4042 0.0000
Pr Y Pu
1 1 4
Direct
0.0000 0.0000 0.0000 Pr
0.7500 0.7500 0.7500 Y
0.3750 0.3750 0.3750 Pu
0.3750 0.3750 0.8749 Pu
0.3750 0.8749 0.3750 Pu
0.8749 0.3750 0.3750 Pu
```